The following is a GGA-PBE calculation of an optimized crystal structure of Na3TcF8, from Alexandria via LeMat-Bulk.

abc: 5.3112 5.3112 5.3112
angles: 90.00 90.00 90.00
Space group Pm-3m (No. 221)
One atom of each set of equivalent atoms:
1 Na 0.0000 0.0000 0.5000 [3 per cell]
2 Tc 0.5000 0.5000 0.5000 [1 per cell]
3 F 0.2783 0.2783 0.2783 [8 per cell]

Calculated values
The value obtained for the magnetization is 2.00 Bohr magnetons per cell. As for the total energy: -4.8360 eV per atom.